The following is a DFT calculation (PBE with a Hubbard U) of a relaxed FeIF2 crystal.

- Energy above the lowest structure with this stoichiometry: 74 meV per atom

abc: 3.2875 3.2875 28.6624
angles: 90.00 90.00 120.00
With the nearest neighbours (Å) after each atom.
Space group R-3m (No. 166, hexagonal axes)
Asymmetric unit:
Fe 0.0000 0.0000 0.0000 (multiplicity 3)  6 F 2.12
I 0.0000 0.0000 0.5000 (multiplicity 3)  6 I 3.29
F 0.0000 0.0000 0.3666 (multiplicity 6)  3 Fe 2.12